## RbPmFeO3 (GGA+U)

Data for a relaxed RbPmFeO3 crystal.

Results
space group	P2_1/m, No. 11
total DFT energy (no corrections)	-6.4609	eV per atom
spin magnetization	0.67	μB per atom

POSCAR file:
```
RbPmFeO3
1.0
-2.8014 -2.3138 0.4465
5.1844 -6.1476 0.6709
-1.0824 2.8146 7.7936
O Rb Fe Pm
6 2 2 2
Direct
0.2500 0.5386 0.8680 O
0.2500 0.8325 0.4630 O
0.7500 0.4614 0.1320 O
0.7500 0.8486 0.1502 O
0.2500 0.1514 0.8498 O
0.7500 0.1675 0.5370 O
0.2500 0.1935 0.2099 Rb
0.7500 0.8065 0.7901 Rb
0.2500 0.0914 0.6088 Fe
0.7500 0.9086 0.3912 Fe
0.7500 0.3476 0.8500 Pm
0.2500 0.6524 0.1500 Pm
```